No. 1
Computed, not measured: a relaxed SrFe2Se3 crystal at the PBE level of DFT.

Results
The spin magnetization comes out at 0.844 μB/atom. The relative energy among the computed polymorphs is 121 meV per atom. As for the calculated density: 6004 kg/m³.

a = 6.923 Å, b = 6.923 Å, c = 9.424 Å
α = 90.00°, β = 90.00°, γ = 147.71°
Element x y z (fractional)
Sr 0.237 0.763 0.750
Sr 0.763 0.237 0.250
Fe 0.000 0.000 0.000
Fe 0.000 0.000 0.500
Fe 0.472 0.528 0.250
Fe 0.528 0.472 0.750
Se 0.075 0.925 0.250
Se 0.378 0.622 0.036
Se 0.378 0.622 0.464
Se 0.622 0.378 0.536
Se 0.622 0.378 0.964
Se 0.925 0.075 0.750


No. 2
Computed, not measured: a relaxed CsSnAu3Se4 crystal at the PBE level of DFT.

Results
The relative energy among the computed polymorphs is 0 meV per atom. As for the calculated density: 6959 kg/m³.

a = 6.354 Å, b = 7.979 Å, c = 11.087 Å
α = 90.00°, β = 100.44°, γ = 90.00°
Element x y z (fractional)
Cs 0.226 0.250 0.359
Cs 0.774 0.750 0.641
Sn 0.097 0.250 0.777
Sn 0.903 0.750 0.223
Au 0.360 0.562 0.079
Au 0.360 0.938 0.079
Au 0.484 0.750 0.319
Au 0.516 0.250 0.681
Au 0.640 0.062 0.921
Au 0.640 0.438 0.921
Se 0.041 0.750 0.011
Se 0.169 0.750 0.425
Se 0.320 0.526 0.769
Se 0.320 0.974 0.769
Se 0.680 0.026 0.231
Se 0.680 0.474 0.231
Se 0.831 0.250 0.575
Se 0.959 0.250 0.989


No. 3
Computed, not measured: a relaxed Cs2SnHgBr6 crystal at the PBE level of DFT.

Results
The relative energy among the computed polymorphs is 6 meV per atom. As for the calculated density: 4656 kg/m³.

a = 14.522 Å, b = 14.522 Å, c = 14.522 Å
α = 31.89°, β = 31.89°, γ = 31.89°
Element x y z (fractional)
Cs 0.121 0.121 0.121
Cs 0.293 0.293 0.293
Cs 0.707 0.707 0.707
Cs 0.879 0.879 0.879
Sn 0.000 0.000 0.000
Sn 0.500 0.500 0.500
Hg 0.416 0.416 0.416
Hg 0.584 0.584 0.584
Br 0.115 0.626 0.626
Br 0.210 0.210 0.704
Br 0.210 0.704 0.210
Br 0.296 0.790 0.790
Br 0.374 0.374 0.885
Br 0.374 0.885 0.374
Br 0.626 0.115 0.626
Br 0.626 0.626 0.115
Br 0.704 0.210 0.210
Br 0.790 0.296 0.790
Br 0.790 0.790 0.296
Br 0.885 0.374 0.374


No. 4
Computed, not measured: a relaxed Sc4Sn3Mo2C3 crystal at the PBE level of DFT.

Results
The spin magnetization comes out at 0.000 μB/atom. As for the energy: -186.6 eV per cell. As for the calculated density: 6365 kg/m³.

a = 5.682 Å, b = 5.682 Å, c = 14.554 Å
α = 100.92°, β = 100.92°, γ = 60.39°
Element x y z (fractional)
Sc 0.036 0.186 0.087
Sc 0.130 0.305 0.413
Sc 0.186 0.036 0.587
Sc 0.305 0.130 0.913
Sc 0.695 0.870 0.087
Sc 0.814 0.964 0.413
Sc 0.870 0.695 0.587
Sc 0.964 0.814 0.913
Sn 0.113 0.887 0.250
Sn 0.270 0.418 0.751
Sn 0.418 0.270 0.251
Sn 0.582 0.730 0.749
Sn 0.730 0.582 0.249
Sn 0.887 0.113 0.750
Mo 0.346 0.524 0.074
Mo 0.476 0.654 0.426
Mo 0.524 0.346 0.574
Mo 0.654 0.476 0.926
C 0.000 0.500 0.000
C 0.185 0.658 0.500
C 0.342 0.815 0.000
C 0.500 0.000 0.500
C 0.658 0.185 0.000
C 0.815 0.342 0.500


No. 5
Computed, not measured: a relaxed AcAlCu crystal at the PBE level of DFT.

Results
The spin magnetization comes out at 0.032 μB/atom. The relative energy among the computed polymorphs is 325 meV per atom. As for the calculated density: 6428 kg/m³.

a = 6.897 Å, b = 6.897 Å, c = 6.897 Å
α = 90.00°, β = 90.00°, γ = 90.00°
Element x y z (fractional)
Ac 0.000 0.000 0.000
Ac 0.000 0.500 0.500
Ac 0.500 0.000 0.500
Ac 0.500 0.500 0.000
Al 0.250 0.250 0.250
Al 0.250 0.750 0.750
Al 0.750 0.250 0.750
Al 0.750 0.750 0.250
Cu 0.000 0.000 0.500
Cu 0.000 0.500 0.000
Cu 0.500 0.000 0.000
Cu 0.500 0.500 0.500


No. 6
Computed, not measured: a relaxed NaNiP2Pd crystal at the PBE level of DFT.

Results
The spin magnetization comes out at 0.000 μB/atom. As for the energy: -50.5 eV per cell. As for the calculated density: 5467 kg/m³.

a = 4.019 Å, b = 4.019 Å, c = 9.404 Å
α = 90.00°, β = 90.00°, γ = 90.00°
Element x y z (fractional)
Na 0.000 0.000 0.000
Na 0.500 0.500 0.500
Ni 0.000 0.500 0.750
Ni 0.500 0.000 0.250
P 0.000 0.000 0.384
P 0.000 0.000 0.616
P 0.500 0.500 0.116
P 0.500 0.500 0.884
Pd 0.000 0.500 0.250
Pd 0.500 0.000 0.750


No. 7
Computed, not measured: a relaxed Mg2AuS2 crystal at the PBE level of DFT.

Results
As for the energy: -16.1 eV per cell. As for the calculated density: 5145 kg/m³.

a = 4.569 Å, b = 4.569 Å, c = 4.789 Å
α = 90.00°, β = 90.00°, γ = 90.00°
Element x y z (fractional)
Mg 0.000 0.500 0.000
Mg 0.500 0.000 0.000
Au 0.000 0.000 0.500
S 0.500 0.500 0.263
S 0.500 0.500 0.737


No. 8
Computed, not measured: a relaxed SrAgB crystal at the PBE level of DFT.

Results
The relative energy among the computed polymorphs is 0 meV per atom. As for the calculated density: 5099 kg/m³.

a = 6.453 Å, b = 6.453 Å, c = 6.453 Å
α = 90.00°, β = 90.00°, γ = 90.00°
Element x y z (fractional)
Sr 0.000 0.000 0.000
Sr 0.000 0.500 0.500
Sr 0.500 0.000 0.500
Sr 0.500 0.500 0.000
Ag 0.000 0.000 0.500
Ag 0.000 0.500 0.000
Ag 0.500 0.000 0.000
Ag 0.500 0.500 0.500
B 0.250 0.250 0.750
B 0.250 0.750 0.250
B 0.750 0.250 0.250
B 0.750 0.750 0.750


No. 9
Computed, not measured: a relaxed Dy3Al3Cu2Ir crystal at the PBE level of DFT.

Results
The spin magnetization comes out at 0.012 μB/atom. As for the energy: -46.7 eV per cell. As for the calculated density: 8483 kg/m³.

a = 7.011 Å, b = 7.011 Å, c = 4.083 Å
α = 90.00°, β = 90.00°, γ = 120.00°
Element x y z (fractional)
Dy 0.000 0.582 0.000
Dy 0.418 0.418 0.000
Dy 0.582 0.000 0.000
Al 0.000 0.234 0.500
Al 0.234 0.000 0.500
Al 0.766 0.766 0.500
Cu 0.333 0.667 0.500
Cu 0.667 0.333 0.500
Ir 0.000 0.000 0.000


No. 10
Computed, not measured: a relaxed Lu2TcSb crystal at the PBE level of DFT.

Results
The spin magnetization comes out at 0.000 μB/atom. As for the energy: -96.9 eV per cell. As for the calculated density: 11542 kg/m³.

a = 6.895 Å, b = 6.895 Å, c = 6.895 Å
α = 90.00°, β = 90.00°, γ = 90.00°
Element x y z (fractional)
Lu 0.000 0.000 0.000
Lu 0.000 0.500 0.500
Lu 0.250 0.250 0.250
Lu 0.250 0.750 0.750
Lu 0.500 0.000 0.500
Lu 0.500 0.500 0.000
Lu 0.750 0.250 0.750
Lu 0.750 0.750 0.250
Tc 0.250 0.250 0.750
Tc 0.250 0.750 0.250
Tc 0.750 0.250 0.250
Tc 0.750 0.750 0.750
Sb 0.000 0.000 0.500
Sb 0.000 0.500 0.000
Sb 0.500 0.000 0.000
Sb 0.500 0.500 0.500


No. 11
Computed, not measured: a relaxed Zr3ZnCu2 crystal at the PBE level of DFT.

Results
The energy relative to the elements is -0.153 eV per atom. The spin magnetization comes out at 0.001 μB/atom. As for the calculated density: 7347 kg/m³.

a = 8.416 Å, b = 8.416 Å, c = 8.416 Å
α = 60.00°, β = 60.00°, γ = 60.00°
Element x y z (fractional)
Zr 0.072 0.072 0.678
Zr 0.072 0.678 0.072
Zr 0.072 0.678 0.678
Zr 0.322 0.322 0.928
Zr 0.322 0.928 0.322
Zr 0.322 0.928 0.928
Zr 0.678 0.072 0.072
Zr 0.678 0.072 0.678
Zr 0.678 0.678 0.072
Zr 0.928 0.322 0.322
Zr 0.928 0.322 0.928
Zr 0.928 0.928 0.322
Zn 0.000 0.500 0.500
Zn 0.500 0.000 0.500
Zn 0.500 0.500 0.000
Zn 0.500 0.500 0.500
Cu 0.295 0.295 0.295
Cu 0.295 0.295 0.616
Cu 0.295 0.616 0.295
Cu 0.384 0.705 0.705
Cu 0.616 0.295 0.295
Cu 0.705 0.384 0.705
Cu 0.705 0.705 0.384
Cu 0.705 0.705 0.705


No. 12
Computed, not measured: a relaxed Pa crystal at the PBE level of DFT.

Results
The energy relative to the elements is 0.056 eV per atom. The spin magnetization comes out at 0.001 μB/atom. The relative energy among the computed polymorphs is 56 meV per atom. As for the calculated density: 15695 kg/m³.

a = 5.804 Å, b = 5.804 Å, c = 5.804 Å
α = 90.00°, β = 90.00°, γ = 90.00°
Element x y z (fractional)
Pa 0.000 0.000 0.000
Pa 0.000 0.250 0.500
Pa 0.000 0.750 0.500
Pa 0.250 0.500 0.000
Pa 0.500 0.000 0.250
Pa 0.500 0.000 0.750
Pa 0.500 0.500 0.500
Pa 0.750 0.500 0.000


No. 13
Computed, not measured: a relaxed NaCoRe crystal at the PBE level of DFT.

Results
The spin magnetization comes out at 0.005 μB/atom. The relative energy among the computed polymorphs is 0 meV per atom. As for the calculated density: 9449 kg/m³.

a = 5.734 Å, b = 5.734 Å, c = 5.734 Å
α = 90.00°, β = 90.00°, γ = 90.00°
Element x y z (fractional)
Na 0.000 0.000 0.000
Na 0.000 0.500 0.500
Na 0.500 0.000 0.500
Na 0.500 0.500 0.000
Co 0.250 0.250 0.250
Co 0.250 0.750 0.750
Co 0.750 0.250 0.750
Co 0.750 0.750 0.250
Re 0.000 0.000 0.500
Re 0.000 0.500 0.000
Re 0.500 0.000 0.000
Re 0.500 0.500 0.500


No. 14
Computed, not measured: a relaxed AcTaTl crystal at the PBE level of DFT.

Results
The spin magnetization comes out at 0.897 μB/atom. The relative energy among the computed polymorphs is 454 meV per atom. As for the calculated density: 9622 kg/m³.

a = 7.505 Å, b = 7.505 Å, c = 7.505 Å
α = 90.00°, β = 90.00°, γ = 90.00°
Element x y z (fractional)
Ac 0.000 0.000 0.000
Ac 0.000 0.500 0.500
Ac 0.500 0.000 0.500
Ac 0.500 0.500 0.000
Ta 0.250 0.250 0.750
Ta 0.250 0.750 0.250
Ta 0.750 0.250 0.250
Ta 0.750 0.750 0.750
Tl 0.250 0.250 0.250
Tl 0.250 0.750 0.750
Tl 0.750 0.250 0.750
Tl 0.750 0.750 0.250


No. 15
Computed, not measured: a relaxed NaDySnS3 crystal at the PBE level of DFT.

Results
The spin magnetization comes out at 0.000 μB/atom. As for the energy: -59.1 eV per cell. As for the calculated density: 4052 kg/m³.

a = 7.821 Å, b = 7.821 Å, c = 10.945 Å
α = 90.00°, β = 90.00°, γ = 150.65°
Element x y z (fractional)
Na 0.136 0.864 0.750
Na 0.864 0.136 0.250
Dy 0.500 0.500 0.000
Dy 0.500 0.500 0.500
Sn 0.147 0.853 0.250
Sn 0.853 0.147 0.750
S 0.123 0.877 0.505
S 0.123 0.877 0.995
S 0.473 0.527 0.750
S 0.527 0.473 0.250
S 0.877 0.123 0.005
S 0.877 0.123 0.495


No. 16
Computed, not measured: a relaxed NaAg3PdS4 crystal at the PBE level of DFT.

Results
As for the energy: -32.3 eV per cell. As for the calculated density: 4405 kg/m³.

a = 6.029 Å, b = 6.029 Å, c = 6.029 Å
α = 90.00°, β = 90.00°, γ = 90.00°
Element x y z (fractional)
Na 0.000 0.000 0.000
Ag 0.000 0.500 0.500
Ag 0.500 0.000 0.500
Ag 0.500 0.500 0.000
Pd 0.500 0.500 0.500
S 0.269 0.269 0.269
S 0.269 0.731 0.731
S 0.731 0.269 0.731
S 0.731 0.731 0.269


No. 17
Computed, not measured: a relaxed LuGeTe3Au crystal at the PBE level of DFT.

Results
The spin magnetization comes out at 0.000 μB/atom. The relative energy among the computed polymorphs is 28 meV per atom. As for the calculated density: 8288 kg/m³.

a = 14.102 Å, b = 4.142 Å, c = 11.352 Å
α = 90.00°, β = 90.00°, γ = 90.00°
Element x y z (fractional)
Lu 0.005 0.250 0.187
Lu 0.495 0.750 0.687
Lu 0.505 0.250 0.313
Lu 0.995 0.750 0.813
Ge 0.225 0.250 0.442
Ge 0.275 0.750 0.942
Ge 0.725 0.250 0.058
Ge 0.775 0.750 0.558
Te 0.112 0.250 0.948
Te 0.137 0.750 0.614
Te 0.156 0.750 0.252
Te 0.344 0.250 0.752
Te 0.363 0.250 0.114
Te 0.388 0.750 0.448
Te 0.612 0.250 0.552
Te 0.637 0.750 0.886
Te 0.656 0.750 0.248
Te 0.844 0.250 0.748
Te 0.863 0.250 0.386
Te 0.888 0.750 0.052
Au 0.007 0.750 0.406
Au 0.493 0.250 0.906
Au 0.507 0.750 0.094
Au 0.993 0.250 0.594


No. 18
Computed, not measured: a relaxed YTmNO crystal at the PBE level of DFT.

Results
The spin magnetization comes out at 0.000 μB/atom. The relative energy among the computed polymorphs is 479 meV per atom. As for the calculated density: 6419 kg/m³.

a = 4.356 Å, b = 4.356 Å, c = 7.847 Å
α = 90.00°, β = 90.00°, γ = 90.00°
Element x y z (fractional)
Y 0.250 0.250 0.096
Y 0.750 0.750 0.904
Tm 0.250 0.750 0.500
Tm 0.750 0.250 0.500
N 0.250 0.250 0.574
N 0.750 0.750 0.426
O 0.250 0.750 0.000
O 0.750 0.250 0.000


No. 19
Computed, not measured: a relaxed Y2Ni2IBr crystal at the PBE level of DFT.

Results
The spin magnetization comes out at 0.025 μB/atom. As for the energy: -33.2 eV per cell. As for the calculated density: 5008 kg/m³.

a = 4.037 Å, b = 4.037 Å, c = 11.795 Å
α = 90.00°, β = 90.00°, γ = 120.00°
Element x y z (fractional)
Y 0.000 0.000 0.000
Y 0.000 0.000 0.308
Ni 0.333 0.667 0.163
Ni 0.667 0.333 0.147
I 0.667 0.333 0.490
Br 0.333 0.667 0.839


No. 20
Computed, not measured: a relaxed Rb3Nb2Br9 crystal at the PBE level of DFT.

Results
The spin magnetization comes out at 0.144 μB/atom. As for the energy: -111.7 eV per cell. As for the calculated density: 4206 kg/m³.

a = 7.683 Å, b = 7.683 Å, c = 17.937 Å
α = 90.00°, β = 90.00°, γ = 120.00°
Element x y z (fractional)
Rb 0.000 0.000 0.250
Rb 0.000 0.000 0.750
Rb 0.333 0.667 0.069
Rb 0.333 0.667 0.431
Rb 0.667 0.333 0.569
Rb 0.667 0.333 0.931
Nb 0.333 0.667 0.675
Nb 0.333 0.667 0.825
Nb 0.667 0.333 0.175
Nb 0.667 0.333 0.325
Br 0.017 0.508 0.250
Br 0.171 0.342 0.592
Br 0.171 0.342 0.908
Br 0.171 0.829 0.592
Br 0.171 0.829 0.908
Br 0.342 0.171 0.092
Br 0.342 0.171 0.408
Br 0.492 0.508 0.250
Br 0.492 0.983 0.250
Br 0.508 0.017 0.750
Br 0.508 0.492 0.750
Br 0.658 0.829 0.592
Br 0.658 0.829 0.908
Br 0.829 0.171 0.092
Br 0.829 0.171 0.408
Br 0.829 0.658 0.092
Br 0.829 0.658 0.408
Br 0.983 0.492 0.750


No. 21
Computed, not measured: a relaxed RbNpTl crystal at the PBE level of DFT.

Results
The spin magnetization comes out at 1.676 μB/atom. As for the energy: -52.5 eV per cell. As for the calculated density: 6815 kg/m³.

a = 8.008 Å, b = 8.008 Å, c = 8.008 Å
α = 90.00°, β = 90.00°, γ = 90.00°
Element x y z (fractional)
Rb 0.000 0.000 0.000
Rb 0.000 0.500 0.500
Rb 0.500 0.000 0.500
Rb 0.500 0.500 0.000
Np 0.000 0.000 0.500
Np 0.000 0.500 0.000
Np 0.500 0.000 0.000
Np 0.500 0.500 0.500
Tl 0.250 0.250 0.750
Tl 0.250 0.750 0.250
Tl 0.750 0.250 0.250
Tl 0.750 0.750 0.750